(1)
The following is a PBE calculation of a relaxed structure of La2SnSe, from Alexandria via LeMat-Bulk.

Cell: 4.4100 4.4100 23.4061 Å, 90.00 90.00 120.00°
Space group R3m (No. 160, hexagonal axes)
Symmetry-distinct sites (fractional):
1 La 0.0000 0.0000 0.0000 x3
2 La 0.0000 0.0000 0.1687 x3
3 Sn 0.0000 0.0000 0.5843 x3
4 Se 0.0000 0.0000 0.4147 x3

The calculation puts the volume at 32.85 Å³/atom. The value obtained for the total magnetization is 0.00 μB per formula unit. Its formation energy (no corrections) is -4.93 eV/f.u. The calculation puts the raw total energy at -5.567 eV/atom.

(2)
The following is a PBE calculation of a relaxed structure of LaSnSe3, from Alexandria via LeMat-Bulk.

Cell: 5.264 5.264 5.264 Å, 90.00 90.00 90.00°
Space group Pm-3m (No. 221)
Symmetry-distinct sites (fractional):
1 La 0.000 0.000 0.000 x1
2 Sn 0.500 0.500 0.500 x1
3 Se 0.000 0.500 0.500 x3

The calculation puts the volume at 29.17 Å³/atom. The value obtained for the total magnetization is 0.00 μB per formula unit. Its formation energy (no corrections) is -3.61 eV/f.u. The calculation puts the raw total energy at -4.598 eV/atom.

(3)
The following is a PBE calculation of a relaxed structure of La6SnSe12, from Alexandria via LeMat-Bulk.

Cell: 12.7402 12.7402 12.6769 Å, 90.00 90.00 120.00°
Space group R-3 (No. 148, hexagonal axes)
Symmetry-distinct sites (fractional):
1 La 0.0413 0.7715 0.1294 x18
2 Sn 0.0000 0.0000 0.5000 x3
3 Se 0.0317 0.8144 0.8986 x18
4 Se 0.0872 0.8649 0.3783 x18

The calculation puts the volume at 31.26 Å³/atom. The value obtained for the total magnetization is 0.00 μB per formula unit. Its formation energy (no corrections) is -30.21 eV/f.u. The calculation puts the raw total energy at -5.557 eV/atom.

(4)
The following is a PBE calculation of a relaxed structure of La2SnSe, from Alexandria via LeMat-Bulk.

Cell: 7.759 7.759 7.759 Å, 90.00 90.00 90.00°
Space group Fm-3m (No. 225)
Symmetry-distinct sites (fractional):
1 La 0.250 0.250 0.250 x8
2 Sn 0.000 0.000 0.000 x4
3 Se 0.000 0.000 0.500 x4

The calculation puts the volume at 29.19 Å³/atom. The value obtained for the total magnetization is 0.00 μB per formula unit. Its formation energy (no corrections) is -4.34 eV/f.u. The calculation puts the raw total energy at -5.420 eV/atom.

(5)
The following is a PBE calculation of a relaxed structure of LaSn2Se, from Alexandria via LeMat-Bulk.

Cell: 8.875 8.875 6.033 Å, 90.00 90.00 90.00°
Space group I-42d (No. 122)
Symmetry-distinct sites (fractional):
1 La 0.000 0.000 0.000 x4
2 Sn 0.211 0.250 0.625 x8
3 Se 0.000 0.000 0.500 x4

The calculation puts the volume at 29.70 Å³/atom. The value obtained for the total magnetization is 0.00 μB per formula unit. Its formation energy (no corrections) is -1.78 eV/f.u. The calculation puts the raw total energy at -4.551 eV/atom.

(6)
The following is a PBE calculation of a relaxed structure of La2SnSe4, from Alexandria via LeMat-Bulk.

Cell: 15.476 4.374 7.710 Å, 90.00 117.10 90.00°
Space group C2/m (No. 12)
Symmetry-distinct sites (fractional):
1 La 0.220 0.000 0.213 x4
2 Sn 0.000 0.500 0.500 x2
3 Se 0.126 0.500 0.933 x4
4 Se 0.143 0.000 0.509 x4

The calculation puts the volume at 33.18 Å³/atom. The value obtained for the total magnetization is 0.00 μB per formula unit. Its formation energy (no corrections) is -10.51 eV/f.u. The calculation puts the raw total energy at -5.472 eV/atom.

(7)
The following is a PBE calculation of a relaxed structure of LaSnSe3, from Alexandria via LeMat-Bulk.

Cell: 5.696 5.696 5.696 Å, 90.00 90.00 90.00°
Space group Pm-3m (No. 221)
Symmetry-distinct sites (fractional):
1 La 0.000 0.000 0.000 x1
2 Sn 0.500 0.500 0.500 x1
3 Se 0.000 0.000 0.500 x3

The calculation puts the volume at 36.97 Å³/atom. The value obtained for the total magnetization is 0.00 μB per formula unit. Its formation energy (no corrections) is -2.20 eV/f.u. The calculation puts the raw total energy at -4.316 eV/atom.

(8)
The following is a PBE calculation of a relaxed structure of La2SnSe, from Alexandria via LeMat-Bulk.

Cell: 4.525 24.281 4.441 Å, 90.00 90.00 90.00°
Space group Cmcm (No. 63)
Symmetry-distinct sites (fractional):
1 La 0.000 0.068 0.250 x4
2 La 0.000 0.315 0.250 x4
3 Sn 0.000 0.455 0.250 x4
4 Se 0.000 0.191 0.250 x4

The calculation puts the volume at 30.50 Å³/atom. The value obtained for the total magnetization is 0.00 μB per formula unit. Its formation energy (no corrections) is -5.53 eV/f.u. The calculation puts the raw total energy at -5.717 eV/atom.